Record 1
Here is a relaxed structure of MgRe2P from Alexandria. Energies are from PBE.

Results
Formation energy from the elements ... 0.091 eV/atom
Polymorph energy (0 for the lowest one) ... 40 kJ/mol of formula units
Total DFT energy (no corrections) ... -7.885 eV/atom
Size of the total moment ... 0.00 μB/f.u.

Cell lengths 2.9330, 4.2933, 4.9854 Å; angles 90.00, 106.90, 90.00 degrees
Space group Pm (No. 6)
One atom of each set of equivalent atoms:
Mg 0.0000 0.0000 0.0000 (multiplicity 1)
Re 0.3253 0.5000 0.6598 (multiplicity 1)
Re 0.7325 0.0000 0.4699 (multiplicity 1)
P 0.6064 0.5000 0.2176 (multiplicity 1)

***

Record 2
Here is a relaxed structure of P2OsAuS from Alexandria. Energies are from PBE.

Results
Polymorph energy (0 for the lowest one) ... 540 kJ/mol of formula units
Total DFT energy (no corrections) ... -3.994 eV/atom
Size of the total moment ... 0.00 μB/f.u.

Cell lengths 4.6433, 4.6433, 4.7108 Å; angles 90.00, 90.00, 90.00 degrees
Space group P4/mmm (No. 123)
One atom of each set of equivalent atoms:
P 0.0000 0.5000 0.0000 (multiplicity 2)
Os 0.0000 0.0000 0.5000 (multiplicity 1)
Au 0.5000 0.5000 0.0000 (multiplicity 1)
S 0.5000 0.5000 0.5000 (multiplicity 1)

***

Record 3
Here is a relaxed structure of LaNi2BPd from Alexandria. Energies are from PBE.

Results
Formation energy from the elements ... -0.332 eV/atom
Total DFT energy (no corrections) ... -6.004 eV/atom
Size of the total moment ... 0.04 μB/f.u.

Cell lengths 4.1458, 4.1458, 4.4202 Å; angles 90.00, 90.00, 90.00 degrees
Space group P4/mmm (No. 123)
One atom of each set of equivalent atoms:
La 0.0000 0.0000 0.0000 (multiplicity 1)
Ni 0.0000 0.5000 0.5000 (multiplicity 2)
B 0.5000 0.5000 0.5000 (multiplicity 1)
Pd 0.5000 0.5000 0.0000 (multiplicity 1)

***

Record 4
Here is a relaxed structure of Ni2AgRh from Alexandria. Energies are from PBE.

Results
Formation energy from the elements ... 0.251 eV/atom
Total DFT energy (no corrections) ... -5.190 eV/atom
Size of the total moment ... 2.17 μB/f.u.

Cell lengths 8.6433, 2.7097, 4.7787 Å; angles 90.00, 99.92, 90.00 degrees
Space group C2/m (No. 12)
One atom of each set of equivalent atoms:
Ni 0.2452 0.0000 0.2247 (multiplicity 4)
Ag 0.0000 0.0000 0.5000 (multiplicity 2)
Rh 0.0000 0.5000 0.0000 (multiplicity 2)

***

Record 5
Here is a relaxed structure of Pr3TeN from Alexandria. Energies are from PBE.

Results
Polymorph energy (0 for the lowest one) ... 0 kJ/mol of formula units
Total DFT energy (no corrections) ... -6.057 eV/atom
Size of the total moment ... 0.00 μB/f.u.

Cell lengths 5.0405, 5.0405, 5.0405 Å; angles 90.00, 90.00, 90.00 degrees
Space group Pm-3m (No. 221)
One atom of each set of equivalent atoms:
Pr 0.0000 0.0000 0.5000 (multiplicity 3)
Te 0.5000 0.5000 0.5000 (multiplicity 1)
N 0.0000 0.0000 0.0000 (multiplicity 1)